# 1
The following is a GGA-PBEsol calculation of a relaxed Li2TePb crystal, from Alexandria.

Cell: 3.948 4.124 6.279 Å, 109.17 108.32 90.00°
Fractional positions:
Pb 0.475 0.475 0.949
Te 0.726 0.226 0.453
Li 0.049 0.049 0.098
Li 0.250 0.750 0.500

DFT total energy   -3.34 eV/atom
Energy relative to the elements, uncorrected   -0.477 eV per atom
Energy relative to the lowest polymorph listed for this composition   0.036 eV/atom
Density of states at the Fermi level   0.34 states/eV/atom
Crystal system   orthorhombic

=====

# 2
The following is a GGA-PBEsol calculation of a relaxed FeSO4 crystal, from Alexandria.

Cell: 4.821 6.545 8.751 Å, 90.00 90.00 90.00°
Last column: magnetic moment on the atom in μB.
Fractional positions:
Fe 0.500 0.500 0.500  3.60
Fe 0.000 0.500 0.000  3.60
Fe 0.500 0.000 0.500  3.60
Fe 0.000 0.000 0.000  3.60
S 0.475 0.250 0.176  0.02
S 0.975 0.750 0.324  0.02
S 0.525 0.750 0.824  0.02
S 0.025 0.250 0.676  0.02
O 0.769 0.250 0.122  0.07
O 0.269 0.750 0.378  0.07
O 0.231 0.750 0.878  0.07
O 0.731 0.250 0.622  0.07
O 0.459 0.250 0.348  0.08
O 0.959 0.750 0.152  0.08
O 0.541 0.750 0.652  0.08
O 0.041 0.250 0.848  0.08
O 0.163 0.062 0.623  0.05
O 0.663 0.938 0.877  0.05
O 0.837 0.562 0.377  0.05
O 0.337 0.438 0.123  0.05
O 0.837 0.938 0.377  0.05
O 0.337 0.062 0.123  0.05
O 0.163 0.438 0.623  0.05
O 0.663 0.562 0.877  0.05

DFT total energy   -6.95 eV/atom
Energy relative to the elements, uncorrected   -1.221 eV per atom
Density of states at the Fermi level   0.58 states/eV/atom
Crystal system   orthorhombic

=====

# 3
The following is a GGA-PBEsol calculation of a relaxed Li8CoO6 crystal, from Alexandria.

Cell: 5.464 5.464 10.735 Å, 90.00 90.00 120.00°
Last column: magnetic moment on the atom in μB.
Fractional positions:
Li 0.000 0.311 0.732  0.00
Li 0.311 0.311 0.232  0.00
Li 0.689 0.000 0.232  0.00
Li 0.311 0.000 0.732  0.00
Li 0.689 0.689 0.732  0.00
Li 0.000 0.689 0.232  0.00
Li 0.000 0.390 0.373  0.00
Li 0.390 0.390 0.873  0.00
Li 0.610 0.000 0.873  0.00
Li 0.390 0.000 0.373  0.00
Li 0.610 0.610 0.373  0.00
Li 0.000 0.610 0.873  0.00
Li 0.667 0.333 0.093  0.01
Li 0.333 0.667 0.593  0.01
Li 0.333 0.667 0.093  0.01
Li 0.667 0.333 0.593  0.01
Co 0.000 0.000 0.004  2.98
Co 0.000 0.000 0.504  2.98
O 0.000 0.313 0.551  0.38
O 0.313 0.313 0.051  0.38
O 0.687 0.000 0.051  0.38
O 0.313 0.000 0.551  0.38
O 0.687 0.687 0.551  0.38
O 0.000 0.687 0.051  0.38
O 0.667 0.333 0.283  0.04
O 0.000 0.000 0.333  0.34
O 0.667 0.333 0.783  0.04
O 0.333 0.667 0.283  0.04
O 0.000 0.000 0.833  0.34
O 0.333 0.667 0.783  0.04

DFT total energy   -5.35 eV/atom
Energy relative to the elements, uncorrected   -1.689 eV per atom
Crystal system   hexagonal